No. 1
Computed, not measured: crystalline KAcHgCl6 at its relaxed geometry at the GGA-PBE level of DFT.

Results
M_tot ... 0.00 μB/f.u.
Calculated total energy ... -3.54 eV/atom
Space-group type ... P-31c

Cell: 7.2699 7.2699 13.7845 Å, 90.00 90.00 120.00°
Sites, in units of the cell vectors:
K1 0.0000 0.0000 0.0000
K2 0.0000 0.0000 0.5000
Ac1 0.3333 0.6667 0.2500
Ac2 0.6667 0.3333 0.7500
Hg1 0.6667 0.3333 0.2500
Hg2 0.3333 0.6667 0.7500
Cl1 0.6475 0.6297 0.1351
Cl2 0.9821 0.3525 0.1351
Cl3 0.3525 0.9821 0.6351
Cl4 0.0179 0.6475 0.8649
Cl5 0.3703 0.3525 0.3649
Cl6 0.9821 0.6297 0.3649
Cl7 0.6297 0.9821 0.8649
Cl8 0.6475 0.0179 0.3649
Cl9 0.0179 0.3703 0.6351
Cl10 0.3703 0.0179 0.1351
Cl11 0.6297 0.6475 0.6351
Cl12 0.3525 0.3703 0.8649

No. 2
Computed, not measured: crystalline AcLaHgCl at its relaxed geometry at the GGA-PBE level of DFT.

Results
M_tot ... 0.02 μB/f.u.
Calculated total energy ... -3.57 eV/atom
Space-group type ... F-43m

Cell: 5.5492 5.5492 5.5492 Å, 60.00 60.00 60.00°
Sites, in units of the cell vectors:
Ac1 0.5000 0.5000 0.5000
Cl1 0.2500 0.2500 0.2500
Hg1 0.7500 0.7500 0.7500
La1 0.0000 0.0000 0.0000

No. 3
Computed, not measured: crystalline NaAcHgCl6 at its relaxed geometry at the GGA-PBE level of DFT.

Results
M_tot ... 0.00 μB/f.u.
Calculated total energy ... -3.50 eV/atom
Space-group type ... P-31c

Cell: 7.1202 7.1202 12.6766 Å, 90.00 90.00 120.00°
Sites, in units of the cell vectors:
Na1 0.0000 0.0000 0.0000
Na2 0.0000 0.0000 0.5000
Ac1 0.3333 0.6667 0.2500
Ac2 0.6667 0.3333 0.7500
Hg1 0.6667 0.3333 0.2500
Hg2 0.3333 0.6667 0.7500
Cl1 0.6669 0.6477 0.1269
Cl2 0.9808 0.3331 0.1269
Cl3 0.3331 0.9808 0.6269
Cl4 0.0192 0.6669 0.8731
Cl5 0.3523 0.3331 0.3731
Cl6 0.9808 0.6477 0.3731
Cl7 0.6477 0.9808 0.8731
Cl8 0.6669 0.0192 0.3731
Cl9 0.0192 0.3523 0.6269
Cl10 0.3523 0.0192 0.1269
Cl11 0.6477 0.6669 0.6269
Cl12 0.3331 0.3523 0.8731

No. 4
Computed, not measured: crystalline AcHgClO at its relaxed geometry at the GGA-PBE level of DFT.

Results
M_tot ... 0.00 μB/f.u.
Calculated total energy ... -5.09 eV/atom
Space-group type ... P4/nmm

Cell: 4.2102 4.2102 12.6795 Å, 90.00 90.00 90.00°
Sites, in units of the cell vectors:
Ac1 0.7500 0.7500 0.8980
Ac2 0.2500 0.2500 0.1020
Hg1 0.2500 0.7500 0.5000
Hg2 0.7500 0.2500 0.5000
Cl1 0.7500 0.7500 0.2153
Cl2 0.2500 0.2500 0.7847
O1 0.7500 0.2500 0.0000
O2 0.2500 0.7500 0.0000

| no. | uncorrected formation energy (meV/atom) |
| --- | --- |
| 1 | -1692 |
| 2 | -776 |
| 3 | -1630 |
| 4 | -2284 |